1) A relaxed Pm2TmPd crystal. Source: Alexandria, functional PBE-GGA.

Cell: 6.830 10.545 6.345 Å, 90.00 92.94 90.00°
Element x y z (fractional)
Pm  0.171  0.111  0.476
Pm  0.171  0.889  0.976
Pm  0.250  0.434  0.407
Pm  0.250  0.566  0.907
Pm  0.750  0.434  0.093
Pm  0.750  0.566  0.593
Pm  0.829  0.111  0.024
Pm  0.829  0.889  0.524
Tm  0.337  0.224  0.974
Tm  0.337  0.776  0.474
Tm  0.663  0.224  0.526
Tm  0.663  0.776  0.026
Pd  0.000  0.338  0.750
Pd  0.000  0.662  0.250
Pd  0.500  0.001  0.750
Pd  0.500  0.999  0.250

=====

2) A relaxed Pm2TmPd crystal. Source: Alexandria, functional PBE-GGA.

Cell: 3.456 3.456 33.608 Å, 90.00 90.00 120.00°
Element x y z (fractional)
Pm  0.000  0.000  0.080
Pm  0.000  0.000  0.920
Pm  0.333  0.667  0.587
Pm  0.333  0.667  0.746
Pm  0.667  0.333  0.254
Pm  0.667  0.333  0.413
Tm  0.000  0.000  0.500
Tm  0.333  0.667  0.167
Tm  0.667  0.333  0.833
Pd  0.000  0.000  0.000
Pd  0.333  0.667  0.667
Pd  0.667  0.333  0.333

=====

3) A relaxed Pm2TmPd crystal. Source: Alexandria, functional PBE-GGA.

Cell: 6.404 3.688 9.952 Å, 90.00 90.01 90.00°
Element x y z (fractional)
Pm  0.000  0.000  0.000
Pm  0.168  0.500  0.305
Pm  0.500  0.500  0.000
Pm  0.668  0.000  0.305
Tm  0.000  0.000  0.607
Tm  0.500  0.500  0.607
Pd  0.333  0.000  0.791
Pd  0.833  0.500  0.791

=====

Which structure is the least stable? The one labeled 2).

=====

1) A relaxed PmTm3Pd2 crystal. Source: Alexandria, functional PBE-GGA.

Cell: 8.111 8.111 8.248 Å, 110.32 110.32 36.83°
Element x y z (fractional)
Pm  0.142  0.142  0.223
Pm  0.858  0.858  0.777
Tm  0.066  0.066  0.741
Tm  0.313  0.313  0.004
Tm  0.376  0.376  0.484
Tm  0.624  0.624  0.516
Tm  0.687  0.687  0.996
Tm  0.934  0.934  0.259
Pd  0.219  0.219  0.626
Pd  0.497  0.497  0.829
Pd  0.503  0.503  0.171
Pd  0.781  0.781  0.374

=====

2) A relaxed PmTm3Pd2 crystal. Source: Alexandria, functional PBE-GGA.

Cell: 3.527 3.527 11.853 Å, 90.00 90.00 90.00°
Element x y z (fractional)
Pm  0.000  0.000  0.000
Tm  0.500  0.500  0.219
Tm  0.500  0.500  0.500
Tm  0.500  0.500  0.781
Pd  0.000  0.000  0.358
Pd  0.000  0.000  0.642

=====

Which structure is the least stable? The one labeled 1).

=====

1) A relaxed PmTmPd crystal. Source: Alexandria, functional PBE-GGA.

Cell: 6.959 6.959 6.959 Å, 90.00 90.00 90.00°
Element x y z (fractional)
Pm  0.000  0.000  0.000
Pm  0.000  0.500  0.500
Pm  0.500  0.000  0.500
Pm  0.500  0.500  0.000
Tm  0.000  0.000  0.500
Tm  0.000  0.500  0.000
Tm  0.500  0.000  0.000
Tm  0.500  0.500  0.500
Pd  0.250  0.250  0.750
Pd  0.250  0.750  0.250
Pd  0.750  0.250  0.250
Pd  0.750  0.750  0.750

=====

2) A relaxed PmTmPd crystal. Source: Alexandria, functional PBE-GGA.

Cell: 3.566 3.566 12.264 Å, 90.00 90.00 90.00°
Element x y z (fractional)
Pm  0.000  0.000  0.000
Pm  0.500  0.500  0.500
Tm  0.000  0.000  0.277
Tm  0.500  0.500  0.777
Pd  0.000  0.000  0.657
Pd  0.500  0.500  0.157

=====

Which structure is the least stable? The one labeled 1).

=====

1) A relaxed PmTmPd crystal. Source: Alexandria, functional PBE-GGA.

Cell: 7.092 5.945 10.537 Å, 90.00 129.09 90.00°
Element x y z (fractional)
Pm  0.197  0.139  0.383
Pm  0.197  0.361  0.883
Pm  0.803  0.639  0.117
Pm  0.803  0.861  0.617
Tm  0.323  0.632  0.630
Tm  0.323  0.868  0.130
Tm  0.677  0.132  0.870
Tm  0.677  0.368  0.370
Pd  0.325  0.639  0.361
Pd  0.325  0.861  0.861
Pd  0.675  0.139  0.139
Pd  0.675  0.361  0.639

=====

2) A relaxed PmTmPd crystal. Source: Alexandria, functional PBE-GGA.

Cell: 4.078 4.078 11.989 Å, 90.00 90.00 120.00°
Element x y z (fractional)
Pm  0.000  0.000  0.229
Pm  0.000  0.000  0.771
Tm  0.333  0.667  0.000
Tm  0.667  0.333  0.500
Pd  0.333  0.667  0.371
Pd  0.333  0.667  0.629

=====

Which structure is the least stable? The one labeled 2).

=====

1) A relaxed PmYPd3 crystal. Source: Alexandria, functional PBE-GGA.

Cell: 7.829 7.829 4.101 Å, 90.00 90.00 120.13°
Element x y z (fractional)
Pm  0.000  0.000  0.000
Pm  0.500  0.500  0.000
Y  0.000  0.500  0.000
Y  0.500  0.000  0.000
Pd  0.198  0.403  0.500
Pd  0.213  0.787  0.500
Pd  0.403  0.198  0.500
Pd  0.597  0.802  0.500
Pd  0.787  0.213  0.500
Pd  0.802  0.597  0.500

=====

2) A relaxed PmYPd3 crystal. Source: Alexandria, functional PBE-GGA.

Cell: 6.915 7.965 7.852 Å, 90.00 90.00 90.00°
Element x y z (fractional)
Pm  0.218  0.136  0.000
Pm  0.282  0.636  0.500
Pm  0.718  0.364  0.500
Pm  0.782  0.864  0.000
Y  0.215  0.134  0.500
Y  0.285  0.634  0.000
Y  0.715  0.366  0.000
Y  0.785  0.866  0.500
Pd  0.000  0.500  0.241
Pd  0.000  0.500  0.759
Pd  0.115  0.855  0.250
Pd  0.115  0.855  0.750
Pd  0.385  0.355  0.250
Pd  0.385  0.355  0.750
Pd  0.500  0.000  0.259
Pd  0.500  0.000  0.741
Pd  0.615  0.645  0.250
Pd  0.615  0.645  0.750
Pd  0.885  0.145  0.250
Pd  0.885  0.145  0.750

=====

Which structure is the least stable? The one labeled 1).

=====

1) A relaxed Pm2YPd crystal. Source: Alexandria, functional PBE-GGA.

Cell: 3.832 3.832 28.808 Å, 90.00 90.00 120.00°
Element x y z (fractional)
Pm  0.000  0.000  0.000
Pm  0.000  0.000  0.202
Pm  0.333  0.667  0.667
Pm  0.333  0.667  0.868
Pm  0.667  0.333  0.333
Pm  0.667  0.333  0.535
Y  0.000  0.000  0.434
Y  0.333  0.667  0.101
Y  0.667  0.333  0.768
Pd  0.000  0.000  0.601
Pd  0.333  0.667  0.267
Pd  0.667  0.333  0.934

=====

2) A relaxed Pm2YPd crystal. Source: Alexandria, functional PBE-GGA.

Cell: 3.678 3.678 8.510 Å, 90.00 90.00 90.00°
Element x y z (fractional)
Pm  0.000  0.000  0.201
Pm  0.000  0.000  0.799
Y  0.500  0.500  0.500
Pd  0.500  0.500  0.000

=====

Which structure is the least stable? The one labeled 1).

=====

1) A relaxed Pm2YPd crystal. Source: Alexandria, functional PBE-GGA.

Cell: 3.486 3.486 33.809 Å, 90.00 90.00 120.00°
Element x y z (fractional)
Pm  0.000  0.000  0.079
Pm  0.000  0.000  0.921
Pm  0.333  0.667  0.588
Pm  0.333  0.667  0.746
Pm  0.667  0.333  0.254
Pm  0.667  0.333  0.412
Y  0.000  0.000  0.500
Y  0.333  0.667  0.167
Y  0.667  0.333  0.833
Pd  0.000  0.000  0.000
Pd  0.333  0.667  0.667
Pd  0.667  0.333  0.333

=====

2) A relaxed Pm2YPd crystal. Source: Alexandria, functional PBE-GGA.

Cell: 3.878 12.148 9.770 Å, 90.00 90.00 90.00°
Element x y z (fractional)
Pm  0.000  0.136  0.060
Pm  0.000  0.136  0.440
Pm  0.000  0.864  0.560
Pm  0.000  0.864  0.940
Pm  0.500  0.364  0.560
Pm  0.500  0.364  0.940
Pm  0.500  0.636  0.060
Pm  0.500  0.636  0.440
Y  0.000  0.429  0.250
Y  0.000  0.571  0.750
Y  0.500  0.071  0.750
Y  0.500  0.929  0.250
Pd  0.000  0.266  0.750
Pd  0.000  0.734  0.250
Pd  0.500  0.234  0.250
Pd  0.500  0.766  0.750

=====

Which structure is the least stable? The one labeled 1).

=====

1) A relaxed PmYZnPd crystal. Source: Alexandria, functional PBE-GGA.

Cell: 3.608 3.608 7.102 Å, 90.00 90.00 90.00°
Element x y z (fractional)
Pm  0.000  0.000  0.000
Y  0.000  0.000  0.490
Zn  0.500  0.500  0.734
Pd  0.500  0.500  0.259

=====

2) A relaxed PmYZnPd crystal. Source: Alexandria, functional PBE-GGA.

Cell: 7.183 7.183 7.183 Å, 90.00 90.00 90.00°
Element x y z (fractional)
Pm  0.000  0.000  0.000
Pm  0.000  0.500  0.500
Pm  0.500  0.000  0.500
Pm  0.500  0.500  0.000
Y  0.000  0.000  0.500
Y  0.000  0.500  0.000
Y  0.500  0.000  0.000
Y  0.500  0.500  0.500
Zn  0.250  0.250  0.750
Zn  0.250  0.750  0.250
Zn  0.750  0.250  0.250
Zn  0.750  0.750  0.750
Pd  0.250  0.250  0.250
Pd  0.250  0.750  0.750
Pd  0.750  0.250  0.750
Pd  0.750  0.750  0.250

=====

Which structure is the least stable? The one labeled 2).